PIOF2 | GGA-PBE | optimized geometry

a = 4.8054 Å, b = 4.8054 Å, c = 4.0090 Å
α = 90.00°, β = 90.00°, γ = 90.00°
Site moments in Bohr magnetons follow the coordinates.
Positions (direct):
P  0.5000  0.5000  0.5000  1.10
F  0.5000  0.0000  0.0000  0.05
F  0.0000  0.5000  0.0000  0.05
I  0.0000  0.0000  0.0000  -0.01
O  0.0000  0.0000  0.5000  0.05

Results
Symmetry   No. 123
Uncorrected formation energy   12.55 kJ per mole of atoms
Energy relative to the lowest polymorph listed for this composition   0.623 eV/atom
Calculated total energy   -3.00 eV/atom